[1]
Material: MnInCo3
Method: DFT, PBE
State: relaxed

Computed properties:
* spin magnetization: 8.59 Bohr magnetons per cell
* energy: -5.009 eV per atom
* V: 100 Å³/cell

Cell lengths 4.6416, 4.6416, 4.6416 Å; angles 90.00, 90.00, 90.00 degrees
Closest atoms and distances in Å follow each position.
Space group Pm-3m (No. 221)
Symmetry-distinct sites (fractional):
Mn: 0.0000 0.0000 0.0000 x1  12 Co 3.28
In: 0.5000 0.5000 0.5000 x1  6 Co 2.32
Co: 0.0000 0.5000 0.5000 x3  2 In 2.32


[2]
Material: MnIn4Co
Method: DFT, PBE
State: relaxed

Computed properties:
* spin magnetization: 24.62 Bohr magnetons per cell
* energy: -3.759 eV per atom
* V: 558 Å³/cell

Cell lengths 8.2345, 8.2345, 8.2345 Å; angles 90.00, 90.00, 90.00 degrees
Closest atoms and distances in Å follow each position.
Space group F-43m (No. 216)
Symmetry-distinct sites (fractional):
Mn: 0.0000 0.0000 0.0000 x4  12 In 3.41, 4 Co 3.57
In: 0.1249 0.1249 0.3751 x16  6 In 2.91
Co: 0.2500 0.2500 0.7500 x4  12 In 3.41, 4 Mn 3.57


[3]
Material: Mn2InCo2
Method: DFT, PBE
State: relaxed

Computed properties:
* spin magnetization: 6.42 Bohr magnetons per cell
* energy: -6.715 eV per atom
* V: 136 Å³/cell

Cell lengths 3.8155, 3.8155, 9.3224 Å; angles 90.00, 90.00, 90.00 degrees
Closest atoms and distances in Å follow each position.
Space group I4/mmm (No. 139)
Symmetry-distinct sites (fractional):
Mn: 0.0000 0.0000 0.1102 x4  1 Mn 2.05
In: 0.0000 0.0000 0.5000 x2  8 Mn 2.89, 8 Co 3.01
Co: 0.0000 0.5000 0.2500 x4  4 Mn 2.31


[4]
Material: MnIn3Co
Method: DFT, PBE
State: relaxed

Computed properties:
* spin magnetization: 4.62 Bohr magnetons per cell
* energy: -4.473 eV per atom
* V: 118 Å³/cell

Cell lengths 4.9035, 4.9035, 4.9035 Å; angles 90.00, 90.00, 90.00 degrees
Closest atoms and distances in Å follow each position.
Space group Pm-3m (No. 221)
Symmetry-distinct sites (fractional):
Mn: 0.0000 0.0000 0.0000 x1  12 In 3.47
In: 0.0000 0.5000 0.5000 x3  2 Co 2.45
Co: 0.5000 0.5000 0.5000 x1  6 In 2.45


[5]
Material: Mn2InCo2
Method: DFT, PBE
State: relaxed

Computed properties:
* spin magnetization: 6.56 Bohr magnetons per cell
* energy: -6.720 eV per atom
* V: 129 Å³/cell

Cell lengths 6.9829, 6.9829, 2.6538 Å; angles 90.00, 90.00, 90.00 degrees
Closest atoms and distances in Å follow each position.
Space group P4/mbm (No. 127)
Symmetry-distinct sites (fractional):
Mn: 0.1140 0.3860 0.0000 x4  1 Mn 2.25, 6 Co 2.46
In: 0.0000 0.0000 0.0000 x2  2 In 2.65, 4 Mn 2.81, 8 Co 2.90
Co: 0.1763 0.6763 0.5000 x4  6 Mn 2.46, 2 Co 2.65


[6]
Material: MnIn3Co
Method: DFT, PBE
State: relaxed

Computed properties:
* spin magnetization: 4.32 Bohr magnetons per cell
* energy: -4.063 eV per atom
* V: 125 Å³/cell

Cell lengths 5.0014, 5.0014, 5.0014 Å; angles 90.00, 90.00, 90.00 degrees
Closest atoms and distances in Å follow each position.
Space group Pm-3m (No. 221)
Symmetry-distinct sites (fractional):
Mn: 0.0000 0.0000 0.0000 x1  6 In 2.50
In: 0.0000 0.0000 0.5000 x3  2 Mn 2.50
Co: 0.5000 0.5000 0.5000 x1  12 In 3.54


[7]
Material: Mn2In2Co
Method: DFT, PBE
State: relaxed

Computed properties:
* spin magnetization: 0.47 Bohr magnetons per cell
* energy: -5.690 eV per atom
* V: 158 Å³/cell

Cell lengths 3.1257, 3.1257, 16.2004 Å; angles 90.00, 90.00, 90.00 degrees
Closest atoms and distances in Å follow each position.
Space group I4/mmm (No. 139)
Symmetry-distinct sites (fractional):
Mn: 0.0000 0.5000 0.2500 x4  4 Mn 2.21
In: 0.0000 0.0000 0.1016 x4  4 Co 2.76, 4 Mn 2.87
Co: 0.0000 0.0000 0.5000 x2  8 In 2.76


[8]
Material: Mn2InCo2
Method: DFT, PBE
State: relaxed

Computed properties:
* spin magnetization: 15.13 Bohr magnetons per cell
* energy: -6.851 eV per atom
* V: 137 Å³/cell

Cell lengths 6.9033, 6.9033, 2.8788 Å; angles 90.00, 90.00, 90.00 degrees
Closest atoms and distances in Å follow each position.
Space group P4/mbm (No. 127)
Symmetry-distinct sites (fractional):
Mn: 0.1534 0.3466 0.0000 x4  6 Co 2.47-2.51
In: 0.0000 0.0000 0.5000 x2  4 Co 2.68, 2 In 2.88, 8 Mn 2.99
Co: 0.1362 0.6362 0.5000 x4  6 Mn 2.47-2.51, 1 Co 2.66, 2 In 2.68


[9]
Material: MnInCo3
Method: DFT, PBE
State: relaxed

Computed properties:
* spin magnetization: 0.04 Bohr magnetons per cell
* energy: -5.680 eV per atom
* V: 75 Å³/cell

Cell lengths 4.2107, 4.2107, 4.2107 Å; angles 90.00, 90.00, 90.00 degrees
Closest atoms and distances in Å follow each position.
Space group Pm-3m (No. 221)
Symmetry-distinct sites (fractional):
Mn: 0.0000 0.0000 0.0000 x1  6 Co 2.11
In: 0.5000 0.5000 0.5000 x1  12 Co 2.98
Co: 0.0000 0.0000 0.5000 x3  2 Mn 2.11


[10]
Material: Mn2In2Co
Method: DFT, PBE
State: relaxed

Computed properties:
* spin magnetization: 16.00 Bohr magnetons per cell
* energy: -5.727 eV per atom
* V: 175 Å³/cell

Cell lengths 6.9401, 6.9401, 3.6283 Å; angles 90.00, 90.00, 90.00 degrees
Closest atoms and distances in Å follow each position.
Space group P4/mbm (No. 127)
Symmetry-distinct sites (fractional):
Mn: 0.1556 0.3444 0.0000 x4  6 In 2.65-2.78
In: 0.1483 0.6483 0.5000 x4  6 Mn 2.65-2.78, 2 Co 2.65, 1 In 2.91
Co: 0.0000 0.0000 0.5000 x2  4 In 2.65


[11]
Material: Mn4InCo2
Method: DFT, PBE
State: relaxed

Computed properties:
* spin magnetization: 36.60 Bohr magnetons per cell
* energy: -6.410 eV per atom
* V: 283 Å³/cell

Cell lengths 4.8304, 4.8304, 12.1424 Å; angles 90.00, 90.00, 90.00 degrees
Closest atoms and distances in Å follow each position.
Space group I4/mmm (No. 139)
Symmetry-distinct sites (fractional):
Mn: 0.0000 0.0000 0.2177 x4  1 Co 2.33
Mn: 0.0000 0.5000 0.0000 x4  2 In 2.42, 4 Co 2.65
In: 0.0000 0.0000 0.0000 x2  6 Mn 2.42-2.64
Co: 0.0000 0.0000 0.4092 x4  1 Co 2.21, 1 Mn 2.33


[12]
Material: MnInCo2N
Method: DFT, PBE
State: relaxed

Computed properties:
* spin magnetization: 4.39 Bohr magnetons per cell
* energy: -6.959 eV per atom
* V: 59 Å³/cell
* raw formation energy: -0.07 eV per atom

Cell lengths 3.8961, 3.8961, 3.9058 Å; angles 90.00, 90.00, 90.00 degrees
Closest atoms and distances in Å follow each position.
Space group P4/mmm (No. 123)
Symmetry-distinct sites (fractional):
Mn: 0.0000 0.0000 0.0000 x1  2 N 1.95
In: 0.5000 0.5000 0.0000 x1  4 Mn 2.75, 8 Co 2.76
Co: 0.0000 0.5000 0.5000 x2  2 N 1.95
N: 0.0000 0.0000 0.5000 x1  4 Co 1.95, 2 Mn 1.95


[13]
Material: Mn2InCoN
Method: DFT, PBE
State: relaxed

Computed properties:
* spin magnetization: 4.08 Bohr magnetons per cell
* energy: -7.404 eV per atom
* V: 59 Å³/cell
* raw formation energy: -0.10 eV per atom

Cell lengths 3.8433, 3.8433, 4.0048 Å; angles 90.00, 90.00, 90.00 degrees
Closest atoms and distances in Å follow each position.
Space group P4/mmm (No. 123)
Symmetry-distinct sites (fractional):
Mn: 0.0000 0.5000 0.0000 x2  2 N 1.92
In: 0.0000 0.0000 0.5000 x1  4 Co 2.72, 8 Mn 2.78
Co: 0.5000 0.5000 0.5000 x1  2 N 2.00
N: 0.5000 0.5000 0.0000 x1  4 Mn 1.92, 2 Co 2.00


[14]
Material: MnInCo2N
Method: DFT, PBE
State: relaxed

Computed properties:
* spin magnetization: 4.20 Bohr magnetons per cell
* energy: -4.980 eV per atom
* V: 86 Å³/cell
* raw formation energy: 1.91 eV per atom

Cell lengths 4.1173, 4.1173, 5.0782 Å; angles 90.00, 90.00, 90.00 degrees
Closest atoms and distances in Å follow each position.
Space group P4/mmm (No. 123)
Symmetry-distinct sites (fractional):
Mn: 0.0000 0.0000 0.0000 x1  4 Co 2.06
In: 0.0000 0.0000 0.5000 x1  2 Mn 2.54
Co: 0.0000 0.5000 0.0000 x2  2 Mn 2.06
N: 0.5000 0.5000 0.5000 x1  4 In 2.91


[15]
Material: MnNbInCo
Method: DFT, PBE
State: relaxed

Computed properties:
* spin magnetization: 0.00 Bohr magnetons per cell
* energy: -7.222 eV per atom
* V: 235 Å³/cell

Cell lengths 6.1699, 6.1699, 6.1699 Å; angles 90.00, 90.00, 90.00 degrees
Closest atoms and distances in Å follow each position.
Space group F-43m (No. 216)
Symmetry-distinct sites (fractional):
Mn: 0.0000 0.0000 0.0000 x4  4 Nb 2.67, 4 In 2.67
Nb: 0.2500 0.2500 0.7500 x4  4 Mn 2.67, 4 Co 2.67
In: 0.2500 0.2500 0.2500 x4  4 Mn 2.67, 4 Co 2.67
Co: 0.0000 0.0000 0.5000 x4  4 In 2.67, 4 Nb 2.67